# PBE PrDySc, optimized geometry
data_PrDySc
_chemical_formula_sum 'Pr2 Dy2 Sc2'
_cell_length_a 3.5394
_cell_length_b 3.5394
_cell_length_c 14.6620
_cell_angle_alpha 90.00
_cell_angle_beta 90.00
_cell_angle_gamma 90.00
_symmetry_space_group_name_H-M 'I 4 m m'
_symmetry_Int_Tables_number 107
_symmetry_space_group_name_Hall 'I 4 -2'
loop_
_atom_site_label
_atom_site_type_symbol
_atom_site_fract_x
_atom_site_fract_y
_atom_site_fract_z
Pr1 Pr 0.0000 0.0000 0.0000
Dy1 Dy 0.0000 0.0000 0.3211
Sc1 Sc 0.0000 0.0000 0.6637
# Fermi-level density of states = 1.62 states/eV per atom
# excess energy over the best structure of this formula in the dataset = 0.00 eV per formula unit
# energy relative to the elements = 0.06 eV/atom
# magnetization = 0.000 μB/cell